! GGA-PBE Mg2In, optimized geometry; values from VASP
&SYSTEM
  ibrav = 0, nat = 6, ntyp = 2
/
ATOMIC_SPECIES
Mg 24.30 Mg.upf
In 114.82 In.upf
CELL_PARAMETERS angstrom
5.4937 0.0000 0.0000
0.0000 3.3127 0.0000
-0.3778 0.0000 7.6702
ATOMIC_POSITIONS crystal
Mg 0.0000 0.0000 0.0000
Mg 0.1850 0.5000 0.3384
Mg 0.5000 0.5000 0.0000
Mg 0.8150 0.5000 0.6616
In 0.3137 0.0000 0.6751
In 0.6863 0.0000 0.3249
! V	139.6	Å³ per cell
! E	-2.04	eV/atom
! size of the total moment	0.000	μB per cell
! DFT formation energy	-6.4	kJ/mol of atoms
! space-group type	P2/m (10)

***

! GGA-PBE Ho6InSe2S3, optimized geometry; values from VASP
&SYSTEM
  ibrav = 0, nat = 12, ntyp = 4
/
ATOMIC_SPECIES
Ho 164.93 Ho.upf
In 114.82 In.upf
Se 78.96 Se.upf
S 32.06 S.upf
CELL_PARAMETERS angstrom
8.8193 -1.9620 0.0000
8.8193 1.9620 0.0000
-1.9461 0.0000 8.0081
ATOMIC_POSITIONS crystal
Ho 0.0027 0.0027 0.2303
Ho 0.3283 0.3283 0.4286
Ho 0.3390 0.3390 0.9051
Ho 0.6610 0.6610 0.0949
Ho 0.6717 0.6717 0.5714
Ho 0.9973 0.9973 0.7697
In 0.5000 0.5000 0.5000
Se 0.1699 0.1699 0.8386
Se 0.8301 0.8301 0.1614
S 0.1681 0.1681 0.3304
S 0.5000 0.5000 0.0000
S 0.8319 0.8319 0.6696
! V	277.1	Å³ per cell
! energy relative to the elements, uncorrected	-1599	meV per atom
! E	-5.73	eV/atom
! size of the total moment	0.000	μB per cell
! space-group type	C2/m (12)

***

! GGA-PBE Ga2PdBr, optimized geometry; values from VASP
&SYSTEM
  ibrav = 0, nat = 4, ntyp = 3
/
ATOMIC_SPECIES
Ga 69.72 Ga.upf
Pd 106.42 Pd.upf
Br 79.90 Br.upf
CELL_PARAMETERS angstrom
0.0000 3.5121 3.5121
3.5121 0.0000 3.5121
3.5121 3.5121 0.0000
ATOMIC_POSITIONS crystal
Ga 0.2500 0.2500 0.2500
Ga 0.7500 0.7500 0.7500
Pd 0.0000 0.0000 0.0000
Br 0.5000 0.5000 0.5000
! V	86.6	Å³ per cell
! energy relative to the elements, uncorrected	98	meV per atom
! E	-3.13	eV/atom
! size of the total moment	0.000	μB per cell
! space-group type	Fm-3m (225)

***

! GGA-PBE Sr2LiO12, optimized geometry; values from VASP
&SYSTEM
  ibrav = 0, nat = 15, ntyp = 3
/
ATOMIC_SPECIES
Sr 87.62 Sr.upf
Li 6.94 Li.upf
O 16.00 O.upf
CELL_PARAMETERS angstrom
5.0563 0.0000 0.0000
1.8633 5.5562 0.0000
2.1132 1.9745 7.6249
ATOMIC_POSITIONS crystal
Sr 0.0000 0.0000 0.0000
Sr 0.1954 0.6303 0.5388
Li 0.0628 0.3187 0.2656
O 0.0075 0.1105 0.5567
O 0.0917 0.6400 0.8643
O 0.1284 0.4202 0.9835
O 0.1584 0.1594 0.6461
O 0.2924 0.9648 0.2362
O 0.4427 0.3371 0.3108
O 0.4881 0.9333 0.0925
O 0.6317 0.2998 0.6864
O 0.6946 0.2763 0.2207
O 0.6968 0.7154 0.4406
O 0.7607 0.3731 0.7698
O 0.8936 0.6695 0.3004
! V	214.2	Å³ per cell
! energy relative to the elements, uncorrected	-884	meV per atom
! E	-5.20	eV/atom
! size of the total moment	5.023	μB per cell
! space-group type	P1 (1)

***

! GGA-PBE CrH3Cl, optimized geometry; values from VASP
&SYSTEM
  ibrav = 0, nat = 5, ntyp = 3
/
ATOMIC_SPECIES
Cr 52.00 Cr.upf
H 1.01 H.upf
Cl 35.45 Cl.upf
CELL_PARAMETERS angstrom
3.7954 0.0000 0.0000
0.0000 3.7954 0.0000
0.0000 0.0000 3.7954
ATOMIC_POSITIONS crystal
Cr 0.0000 0.0000 0.0000
H 0.0000 0.5000 0.5000
H 0.5000 0.0000 0.5000
H 0.5000 0.5000 0.0000
Cl 0.5000 0.5000 0.5000
! V	54.7	Å³ per cell
! E	-3.01	eV/atom
! size of the total moment	4.749	μB per cell
! space-group type	Pm-3m (221)

***

! GGA-PBE TbY2Er4, optimized geometry; values from VASP
&SYSTEM
  ibrav = 0, nat = 7, ntyp = 3
/
ATOMIC_SPECIES
Tb 158.93 Tb.upf
Y 88.91 Y.upf
Er 167.26 Er.upf
CELL_PARAMETERS angstrom
3.1066 -1.7965 0.0000
3.1066 1.7965 0.0000
-2.0553 0.0000 19.7941
ATOMIC_POSITIONS crystal
Tb 0.0000 0.0000 0.0000
Y 0.0903 0.0903 0.2866
Y 0.1814 0.1814 0.5736
Er 0.2807 0.2807 0.8572
Er 0.3774 0.3774 0.1429
Er 0.8040 0.8040 0.4304
Er 0.9006 0.9006 0.7168
! V	220.9	Å³ per cell
! E	-5.11	eV/atom
! size of the total moment	0.029	μB per cell
! DFT formation energy	0.4	kJ/mol of atoms
! space-group type	Cm (8)

***

! GGA-PBE YMnWSe2, optimized geometry; values from VASP
&SYSTEM
  ibrav = 0, nat = 5, ntyp = 4
/
ATOMIC_SPECIES
Y 88.91 Y.upf
Mn 54.94 Mn.upf
W 183.84 W.upf
Se 78.96 Se.upf
CELL_PARAMETERS angstrom
4.8346 0.0000 0.0000
0.0000 4.8346 0.0000
0.0000 0.0000 4.5214
ATOMIC_POSITIONS crystal
Y 0.0000 0.0000 0.0000
Mn 0.5000 0.5000 0.5000
W 0.5000 0.5000 0.0000
Se 0.0000 0.5000 0.5000
Se 0.5000 0.0000 0.5000
! V	105.7	Å³ per cell
! energy relative to the elements, uncorrected	272	meV per atom
! E	-6.84	eV/atom
! size of the total moment	1.528	μB per cell
! space-group type	P4/mmm (123)

***

! GGA-PBE Li2ScTe, optimized geometry; values from VASP
&SYSTEM
  ibrav = 0, nat = 4, ntyp = 3
/
ATOMIC_SPECIES
Li 6.94 Li.upf
Sc 44.96 Sc.upf
Te 127.60 Te.upf
CELL_PARAMETERS angstrom
0.0000 3.4483 3.4483
3.4483 0.0000 3.4483
3.4483 3.4483 0.0000
ATOMIC_POSITIONS crystal
Li 0.0000 0.0000 0.0000
Li 0.2500 0.2500 0.2500
Sc 0.7500 0.7500 0.7500
Te 0.5000 0.5000 0.5000
! V	82.0	Å³ per cell
! energy relative to the elements, uncorrected	-312	meV per atom
! E	-3.64	eV/atom
! size of the total moment	0.751	μB per cell
! space-group type	F-43m (216)

***

! GGA-PBE Ti6Rh12Au, optimized geometry; values from VASP
&SYSTEM
  ibrav = 0, nat = 19, ntyp = 3
/
ATOMIC_SPECIES
Ti 47.87 Ti.upf
Rh 102.91 Rh.upf
Au 196.97 Au.upf
CELL_PARAMETERS angstrom
5.7511 3.3204 2.5922
-5.7511 3.3204 2.5922
0.0000 -6.6408 2.5922
ATOMIC_POSITIONS crystal
Ti 0.0545 0.4087 0.2913
Ti 0.2913 0.0545 0.4087
Ti 0.4087 0.2913 0.0545
Ti 0.5913 0.7087 0.9455
Ti 0.7087 0.9455 0.5913
Ti 0.9455 0.5913 0.7087
Rh 0.0075 0.6911 0.1070
Rh 0.1070 0.0075 0.6911
Rh 0.2105 0.3932 0.6734
Rh 0.3089 0.8930 0.9925
Rh 0.3266 0.7895 0.6068
Rh 0.3932 0.6734 0.2105
Rh 0.6068 0.3266 0.7895
Rh 0.6734 0.2105 0.3932
Rh 0.6911 0.1070 0.0075
Rh 0.7895 0.6068 0.3266
Rh 0.8930 0.9925 0.3089
Rh 0.9925 0.3089 0.8930
Au 0.5000 0.5000 0.5000
! V	297.0	Å³ per cell
! E	-7.76	eV/atom
! size of the total moment	0.000	μB per cell
! DFT formation energy	-43.6	kJ/mol of atoms
! space-group type	R-3 (148)

***

! GGA-PBE K2LaSe, optimized geometry; values from VASP
&SYSTEM
  ibrav = 0, nat = 4, ntyp = 3
/
ATOMIC_SPECIES
K 39.10 K.upf
La 138.91 La.upf
Se 78.96 Se.upf
CELL_PARAMETERS angstrom
3.0661 -6.0221 0.0000
3.0661 6.0221 0.0000
0.0000 0.0000 4.3072
ATOMIC_POSITIONS crystal
K 0.0000 0.5000 0.0000
K 0.5000 0.0000 0.0000
La 0.0000 0.0000 0.5000
Se 0.5000 0.5000 0.5000
! V	159.1	Å³ per cell
! energy relative to the elements, uncorrected	-268	meV per atom
! E	-2.92	eV/atom
! size of the total moment	0.919	μB per cell
! space-group type	Cmmm (65)

***

! GGA-PBE BeAsAu, optimized geometry; values from VASP
&SYSTEM
  ibrav = 0, nat = 6, ntyp = 3
/
ATOMIC_SPECIES
Be 9.01 Be.upf
As 74.92 As.upf
Au 196.97 Au.upf
CELL_PARAMETERS angstrom
4.2350 0.0000 0.0000
-0.2495 4.2558 0.0000
-0.6614 -1.0325 6.1729
ATOMIC_POSITIONS crystal
Be 0.0000 0.0000 0.0000
Be 0.1568 0.8237 0.5177
As 0.0748 0.2625 0.3549
As 0.4849 0.9592 0.8442
Au 0.2799 0.5377 0.0468
Au 0.6464 0.5771 0.5086
! V	111.3	Å³ per cell
! E	-3.87	eV/atom
! size of the total moment	0.000	μB per cell
! DFT formation energy	1.1	kJ/mol of atoms
! space-group type	P1 (1)

***

! GGA-PBE ScBe4Cu8, optimized geometry; values from VASP
&SYSTEM
  ibrav = 0, nat = 13, ntyp = 3
/
ATOMIC_SPECIES
Sc 44.96 Sc.upf
Be 9.01 Be.upf
Cu 63.55 Cu.upf
CELL_PARAMETERS angstrom
-4.0387 4.0387 2.2749
4.0387 -4.0387 2.2749
4.0387 4.0387 -2.2749
ATOMIC_POSITIONS crystal
Sc 0.0000 0.0000 0.0000
Be 0.0000 0.0000 0.5000
Be 0.0000 0.5000 0.0000
Be 0.5000 0.0000 0.0000
Be 0.5000 0.5000 0.5000
Cu 0.0000 0.3468 0.3468
Cu 0.0000 0.6532 0.6532
Cu 0.2811 0.5000 0.7811
Cu 0.3468 0.0000 0.3468
Cu 0.5000 0.2811 0.7811
Cu 0.5000 0.7189 0.2189
Cu 0.6532 0.0000 0.6532
Cu 0.7189 0.5000 0.2189
! V	148.4	Å³ per cell
! E	-4.31	eV/atom
! size of the total moment	0.000	μB per cell
! DFT formation energy	-15.2	kJ/mol of atoms
! space-group type	I4/mmm (139)

***

! GGA-PBE VGa2Pb, optimized geometry; values from VASP
&SYSTEM
  ibrav = 0, nat = 8, ntyp = 3
/
ATOMIC_SPECIES
V 50.94 V.upf
Ga 69.72 Ga.upf
Pb 207.20 Pb.upf
CELL_PARAMETERS angstrom
-3.9155 3.9155 2.7620
3.9155 -3.9155 2.7620
3.9155 3.9155 -2.7620
ATOMIC_POSITIONS crystal
V 0.0000 0.0000 0.0000
V 0.7500 0.2500 0.5000
Ga 0.0678 0.6250 0.9428
Ga 0.3750 0.3178 0.4428
Ga 0.6822 0.1250 0.0572
Ga 0.8750 0.9322 0.5572
Pb 0.2500 0.7500 0.5000
Pb 0.5000 0.5000 0.0000
! V	169.4	Å³ per cell
! E	-4.28	eV/atom
! size of the total moment	0.000	μB per cell
! DFT formation energy	42.2	kJ/mol of atoms
! space-group type	I-42d (122)